# 1
The following is a DFT calculation (SCAN) of a crystal of Ca3As2O8 relaxed with PBEsol.

Cell and atoms, written as extended XYZ:
```
91
Lattice="5.388 3.111 12.587 -5.388 3.111 12.587 0.000 -6.221 12.587" Properties=species:S:1:pos:R:3 pbc="T T T"
Ca 0.000 0.000 0.000
Ca -2.045 -1.328 12.206
Ca -0.002 -3.650 9.983
Ca -3.160 1.827 9.983
Ca -2.216 -1.285 16.250
Ca -2.997 -1.993 27.687
Ca -2.379 1.171 21.330
Ca 0.175 -2.645 21.330
Ca -0.128 2.435 12.206
Ca 2.172 -1.107 12.206
Ca 0.000 0.000 18.837
Ca -2.437 -1.115 31.263
Ca -0.005 2.562 16.250
Ca 2.221 -1.277 16.250
Ca 3.162 1.823 9.983
Ca 0.000 0.000 26.120
Ca 2.204 1.474 21.330
Ca -0.227 3.592 27.687
Ca 3.225 -1.599 27.687
Ca 2.184 -1.553 31.263
Ca 0.253 2.668 31.263
As -2.714 1.271 13.780
As -2.684 -1.834 20.066
As 0.256 -2.986 13.780
As 0.000 0.000 10.074
As -2.956 1.500 17.615
As 0.179 -3.310 17.615
As -2.313 -1.567 23.931
As -0.246 3.242 20.066
As 2.458 1.714 13.780
As 2.931 -1.408 20.066
As -0.201 2.786 23.931
As 0.000 0.000 29.025
As 2.513 -1.220 23.931
As 2.777 1.810 17.615
O -3.039 -0.363 14.159
O -3.974 0.423 16.725
O -1.652 -0.076 9.633
O -3.008 -1.776 18.394
O -4.088 2.190 14.229
O -1.258 -4.107 17.177
O -4.027 -1.124 20.834
O -2.339 -3.455 20.486
O 0.148 -4.635 14.229
O -3.911 -2.183 23.748
O -1.090 -2.224 14.479
O -2.396 1.287 12.103
O 0.083 -2.719 12.103
O -3.420 1.217 19.227
O 0.892 -1.392 9.633
O 0.000 0.000 11.809
O -1.426 -2.747 23.050
O -2.928 3.143 17.177
O -0.041 -1.639 17.250
O -1.381 2.056 14.479
O -1.309 -0.915 20.506
O -1.399 0.855 17.250
O 0.657 -3.570 19.227
O 1.621 -3.653 16.725
O 0.760 1.468 9.633
O -2.294 0.057 23.445
O 1.834 -2.450 14.159
O -1.639 -1.633 25.524
O -1.822 3.753 20.486
O -1.666 2.608 23.050
O -0.765 -1.363 28.289
O 2.313 1.431 12.103
O 1.098 -2.015 23.445
O -0.138 1.591 20.506
O 2.471 0.168 14.480
O 1.440 0.784 17.250
O 1.205 2.814 14.159
O 1.447 -0.676 20.506
O -0.034 3.493 18.394
O 2.987 -2.926 20.834
O 3.042 -1.717 18.394
O -0.595 2.236 25.524
O -0.798 1.344 28.289
O 0.000 0.000 30.715
O 2.353 3.230 16.725
O 1.196 1.958 23.445
O 2.234 -0.603 25.524
O 3.846 -2.296 23.748
O 1.040 4.050 20.834
O 3.941 2.445 14.229
O 0.065 4.479 23.748
O 2.764 2.354 19.227
O 4.185 0.964 17.177
O 1.563 0.019 28.289
O 3.092 0.139 23.050
O 4.161 -0.298 20.486
```

Summary:
crystal system: trigonal
ΔE_f (raw): -2.50 eV per atom

=====

# 2
The following is a DFT calculation (SCAN) of a crystal of Ca4As2O relaxed with PBEsol.

Cell and atoms, written as extended XYZ:
```
14
Lattice="4.508 0.000 0.000 0.000 4.508 0.000 0.000 0.000 15.278" Properties=species:S:1:pos:R:3 pbc="T T T"
Ca 0.000 0.000 2.616
Ca 0.000 0.000 12.663
Ca 0.000 2.254 0.000
Ca 0.000 2.254 7.639
Ca 2.254 0.000 0.000
Ca 2.254 0.000 7.639
Ca 2.254 2.254 5.023
Ca 2.254 2.254 10.255
As 0.000 0.000 5.546
As 0.000 0.000 9.733
As 2.254 2.254 2.094
As 2.254 2.254 13.185
O 0.000 0.000 0.000
O 2.254 2.254 7.639
```

Summary:
crystal system: tetragonal
ΔE_f (raw): -1.91 eV per atom

=====

# 3
The following is a DFT calculation (SCAN) of a crystal of Ca2As2O7 relaxed with PBEsol.

Cell and atoms, written as extended XYZ:
```
11
Lattice="3.524 -4.674 0.000 3.524 4.674 0.000 -0.982 0.000 4.824" Properties=species:S:1:pos:R:3 pbc="T T T"
Ca 3.524 2.864 0.000
Ca 3.524 -2.864 0.000
As 1.331 0.000 2.860
As 4.734 0.000 1.964
O 0.522 0.000 1.375
O 1.101 1.415 3.761
O 1.101 -1.415 3.761
O 3.032 0.000 2.412
O 4.964 1.415 1.064
O 4.964 -1.415 1.064
O 5.543 0.000 3.450
```

Summary:
crystal system: monoclinic
ΔE_f (raw): -2.27 eV per atom

=====

# 4
The following is a DFT calculation (SCAN) of a crystal of CaSbAsO5 relaxed with PBEsol.

Cell and atoms, written as extended XYZ:
```
32
Lattice="7.247 0.000 0.000 0.000 7.642 0.000 0.000 0.000 8.512" Properties=species:S:1:pos:R:3 pbc="T T T"
Ca 0.046 1.073 0.885
Ca 3.578 6.569 5.141
Ca 3.669 2.748 7.627
Ca 7.201 4.894 3.371
Sb 1.504 1.779 3.856
Sb 2.119 5.864 8.112
Sb 5.128 2.043 4.656
Sb 5.743 5.600 0.400
As 0.307 3.196 6.766
As 3.316 4.447 2.510
As 3.931 0.626 1.746
As 6.940 7.017 6.002
O 0.248 2.623 2.652
O 0.463 4.674 7.670
O 0.893 3.445 5.163
O 1.248 2.056 7.597
O 1.367 6.713 5.999
O 2.256 0.930 1.743
O 2.375 5.587 3.341
O 2.730 4.198 0.907
O 3.161 2.969 3.414
O 3.375 5.020 6.908
O 3.872 1.199 5.860
O 4.086 6.790 0.842
O 4.517 0.376 3.349
O 4.872 1.765 0.915
O 4.991 4.751 2.513
O 5.880 2.892 6.769
O 5.999 5.877 5.171
O 6.354 7.266 7.605
O 6.784 0.852 5.098
O 6.999 6.444 1.604
```

Summary:
crystal system: orthorhombic
ΔE_f (raw): -1.92 eV per atom

=====

# 5
The following is a DFT calculation (SCAN) of a crystal of CaTiAs2O7 relaxed with PBEsol.

Cell and atoms, written as extended XYZ:
```
44
Lattice="8.127 0.000 0.000 0.000 8.222 0.000 -4.922 0.000 8.839" Properties=species:S:1:pos:R:3 pbc="T T T"
Ca 1.567 0.285 0.815
Ca -0.894 3.826 5.235
Ca 4.099 4.396 3.604
Ca 1.639 7.938 8.024
Ti -1.143 0.646 6.080
Ti 1.317 3.465 1.660
Ti 1.888 4.757 7.179
Ti 4.349 7.577 2.759
As -0.963 5.876 1.973
As -3.424 6.458 6.393
As 3.408 5.708 0.200
As 0.947 6.626 4.620
As 2.258 1.597 4.219
As -0.203 2.515 8.639
As 6.629 1.764 2.446
As 4.168 2.347 6.866
O -2.800 5.086 5.626
O -0.339 7.247 1.206
O -0.343 4.414 1.330
O -2.803 7.919 5.750
O 0.194 1.755 2.204
O -2.267 2.356 6.624
O -0.451 5.776 3.670
O -2.911 6.558 8.090
O -0.429 1.655 4.892
O 2.032 2.456 0.472
O 2.498 4.977 1.558
O 0.038 7.357 5.978
O -0.394 0.935 7.807
O 2.067 3.176 3.388
O 1.139 5.047 5.452
O 3.599 7.287 1.032
O 3.168 0.865 2.861
O 0.707 3.246 7.281
O 1.173 5.766 8.367
O 3.634 6.568 3.948
O 6.117 1.664 0.750
O 3.656 2.447 5.169
O 5.472 5.866 2.216
O 3.011 6.468 6.635
O 6.009 0.303 3.090
O 3.548 3.808 7.509
O 3.544 0.975 7.633
O 6.005 3.136 3.213
```

Summary:
crystal system: monoclinic
ΔE_f (raw): -2.26 eV per atom

=====

# 6
The following is a DFT calculation (SCAN) of a crystal of CaVAsO5 relaxed with PBEsol.

Cell and atoms, written as extended XYZ:
```
32
Lattice="5.767 0.000 0.000 0.000 8.982 0.000 -0.019 0.000 7.528" Properties=species:S:1:pos:R:3 pbc="T T T"
Ca 1.272 0.000 2.444
Ca 1.567 1.475 6.143
Ca 4.181 5.966 1.385
Ca 4.476 4.491 5.084
V 0.084 3.048 1.848
V 2.824 2.964 1.898
V 2.924 7.455 5.630
V 5.664 7.539 5.680
As 1.337 4.908 6.850
As 1.541 5.631 3.154
As 4.208 1.140 4.374
As 4.411 0.417 0.678
O 0.029 4.812 2.952
O 0.064 1.414 0.577
O 0.963 3.728 5.676
O 1.408 2.207 2.907
O 1.399 6.521 4.639
O 1.439 8.188 6.511
O 1.483 4.001 0.817
O 1.919 6.772 1.948
O 2.846 0.079 4.326
O 2.855 1.189 0.804
O 2.903 4.570 3.202
O 2.893 5.680 6.724
O 3.830 2.281 5.580
O 4.266 8.491 6.711
O 4.309 3.698 1.017
O 4.350 2.030 2.889
O 4.341 6.698 4.621
O 4.786 8.219 1.852
O 5.684 5.905 6.951
O 5.719 0.322 4.576
```

Summary:
crystal system: monoclinic
ΔE_f (raw): -2.36 eV per atom

=====

# 7
The following is a DFT calculation (SCAN) of a crystal of CaAs2WO7 relaxed with PBEsol.

Cell and atoms, written as extended XYZ:
```
44
Lattice="9.161 0.000 0.000 0.000 8.155 0.000 -6.088 0.000 9.078" Properties=species:S:1:pos:R:3 pbc="T T T"
Ca 1.235 0.624 1.116
Ca -1.809 3.453 5.655
Ca 4.882 4.702 3.423
Ca 1.838 7.531 7.962
As -0.971 5.995 1.973
As -4.015 6.238 6.512
As 3.893 5.961 0.149
As 0.848 6.272 4.688
As 2.224 1.884 4.390
As -0.820 2.194 8.929
As 7.088 1.917 2.566
As 4.044 2.160 7.105
W -1.241 0.361 6.386
W 1.803 3.717 1.847
W 1.269 4.438 7.231
W 4.314 7.794 2.692
O -3.648 4.782 5.644
O -0.604 7.450 1.105
O -3.659 5.655 8.233
O -0.615 6.577 3.694
O 0.792 5.230 1.662
O -2.252 7.003 6.201
O -2.479 1.473 7.069
O 0.565 2.605 2.530
O -0.955 1.344 4.940
O 2.090 2.734 0.401
O 0.192 4.771 5.642
O 3.236 7.462 1.103
O 3.530 4.801 1.470
O 0.486 7.431 6.009
O 2.587 0.724 3.069
O -0.457 3.354 7.608
O -0.163 0.693 7.975
O 2.881 3.384 3.436
O 0.983 5.421 8.677
O 4.027 6.811 4.138
O 2.508 5.551 6.547
O 5.552 6.682 2.009
O 5.325 1.152 2.877
O 2.281 2.925 7.416
O 3.688 1.578 5.384
O 6.732 2.500 0.845
O 3.677 0.705 7.973
O 6.721 3.373 3.434
```

Summary:
crystal system: monoclinic
ΔE_f (raw): -2.01 eV per atom

=====

# 8
The following is a DFT calculation (SCAN) of a crystal of Ca2Zn4As4O17 relaxed with PBEsol.

Cell and atoms, written as extended XYZ:
```
54
Lattice="9.761 -3.815 0.000 9.761 3.815 0.000 -2.214 0.000 9.616" Properties=species:S:1:pos:R:3 pbc="T T T"
Ca 6.419 1.954 5.714
Ca 9.781 1.954 8.710
Ca 7.526 -1.954 0.906
Ca 10.889 -1.954 3.902
Zn 1.969 0.548 9.496
Zn 3.076 -0.548 4.688
Zn 7.296 0.763 2.861
Zn 11.118 0.763 1.947
Zn 6.189 -0.763 7.669
Zn 10.011 -0.763 6.755
Zn 14.232 0.548 4.928
Zn 15.339 -0.548 0.120
As 3.395 1.913 6.799
As 8.534 1.760 0.134
As 9.881 1.760 4.674
As 12.806 1.913 7.625
As 4.502 -1.913 1.991
As 7.427 -1.760 4.942
As 8.774 -1.760 9.482
As 13.913 -1.913 2.817
O -0.078 0.635 9.277
O 3.315 1.678 8.494
O 2.987 0.679 3.111
O 5.684 1.594 3.517
O 8.100 2.411 7.212
O 1.029 -0.635 4.469
O 4.077 0.556 6.019
O 8.254 1.930 4.164
O 6.365 1.190 8.100
O 10.160 1.930 0.644
O 1.880 -0.679 7.919
O 5.184 -0.556 1.211
O 7.876 0.460 1.051
O 9.835 1.190 6.324
O 12.730 1.594 1.291
O 6.769 -0.460 5.859
O 4.422 -1.678 3.686
O 12.886 1.678 5.930
O 10.539 0.460 3.757
O 4.577 -1.594 8.325
O 7.472 -1.190 3.292
O 9.432 -0.460 8.565
O 12.123 0.556 8.405
O 15.427 0.679 1.697
O 7.147 -1.930 8.972
O 10.942 -1.190 1.516
O 9.053 -1.930 5.452
O 13.230 -0.556 3.597
O 16.279 0.635 5.147
O 9.207 -2.411 2.404
O 11.623 -1.594 6.099
O 14.320 -0.679 6.505
O 13.993 -1.678 1.122
O 17.386 -0.635 0.339
```

Summary:
crystal system: monoclinic
ΔE_f (raw): -1.70 eV per atom

=====

- Look up the ΔE_f (raw) of the first one.
  -2.50 eV per atom